No. 1
Material: NdTmIn
Method: DFT, PBE
State: relaxed

## Properties
The magnetic moment comes out at 0.000 μB per atom. Its density of states at the Fermi level is 1.06 states/eV per atom. The energy above the most stable polymorph in this dataset comes out at 0 meV per atom. The calculation puts the calculated formation energy at -0.336 eV/atom.

Cell: 5.4412 5.4412 6.8018 Å, 90.00 90.00 120.00°
Space group P6_3/mmc (No. 194)
Symmetry-distinct sites (fractional):
Nd (0.0000, 0.0000, 0.0000) [2 per cell]
Tm (0.3333, 0.6667, 0.2500) [2 per cell]
In (0.3333, 0.6667, 0.7500) [2 per cell]

---

No. 2
Material: Ca5Cd4Ga
Method: DFT, PBE
State: relaxed

## Properties
The magnetic moment comes out at 0.000 μB per atom. Its density of states at the Fermi level is 0.65 states/eV per atom. The calculation puts the calculated formation energy at -0.378 eV/atom.

Cell: 3.791 3.791 19.117 Å, 90.00 90.00 90.00°
Space group P4/mmm (No. 123)
Symmetry-distinct sites (fractional):
Ca (0.000, 0.000, 0.000) [1 per cell]
Ca (0.000, 0.000, 0.205) [2 per cell]
Ca (0.000, 0.000, 0.408) [2 per cell]
Cd (0.500, 0.500, 0.102) [2 per cell]
Cd (0.500, 0.500, 0.307) [2 per cell]
Ga (0.500, 0.500, 0.500) [1 per cell]

---

No. 3
Material: KTlHgP2
Method: DFT, PBE
State: relaxed

## Properties
The magnetic moment comes out at 0.000 μB per atom. Its density of states at the Fermi level is 0.42 states/eV per atom. The calculation puts the calculated formation energy at 0.481 eV/atom.

Cell: 5.206 5.206 5.778 Å, 90.00 90.00 90.00°
Space group P4/mmm (No. 123)
Symmetry-distinct sites (fractional):
K (0.000, 0.000, 0.000) [1 per cell]
Tl (0.500, 0.500, 0.000) [1 per cell]
Hg (0.500, 0.500, 0.500) [1 per cell]
P (0.000, 0.500, 0.500) [2 per cell]

---

No. 4
Material: TaZn2SnBi
Method: DFT, PBE
State: relaxed

## Properties
The magnetic moment comes out at 0.479 μB per atom. Its density of states at the Fermi level is 0.77 states/eV per atom. The energy above the most stable polymorph in this dataset comes out at 819 meV per atom. The calculation puts the calculated formation energy at 1.555 eV/atom.

Cell: 5.067 5.067 6.004 Å, 90.00 90.00 90.00°
Space group P4/mmm (No. 123)
Symmetry-distinct sites (fractional):
Ta (0.000, 0.000, 0.000) [1 per cell]
Zn (0.000, 0.500, 0.500) [2 per cell]
Sn (0.500, 0.500, 0.000) [1 per cell]
Bi (0.500, 0.500, 0.500) [1 per cell]

---

No. 5
Material: CoRh5
Method: DFT, PBE
State: relaxed

## Properties
The magnetic moment comes out at 0.603 μB per atom. Its density of states at the Fermi level is 1.89 states/eV per atom. The calculation puts the calculated formation energy at 0.631 eV/atom.

Cell: 5.0247 5.0247 4.3941 Å, 90.00 90.00 120.00°
Space group P6/mmm (No. 191)
Symmetry-distinct sites (fractional):
Co (0.0000, 0.0000, 0.0000) [1 per cell]
Rh (0.0000, 0.5000, 0.5000) [3 per cell]
Rh (0.3333, 0.6667, 0.0000) [2 per cell]

---

No. 6
Material: Re2HCl
Method: DFT, PBE
State: relaxed

## Properties
The magnetic moment comes out at 0.000 μB per atom. Its density of states at the Fermi level is 0.72 states/eV per atom. The energy above the most stable polymorph in this dataset comes out at 0 meV per atom.

Cell: 4.893 4.893 8.889 Å, 90.00 90.00 90.00°
Space group I-42d (No. 122)
Symmetry-distinct sites (fractional):
Re (0.127, 0.250, 0.125) [8 per cell]
H (0.000, 0.000, 0.000) [4 per cell]
Cl (0.000, 0.000, 0.500) [4 per cell]

---

No. 7
Material: KB2SbIr
Method: DFT, PBE
State: relaxed

## Properties
The magnetic moment comes out at 0.000 μB per atom. Its density of states at the Fermi level is 0.52 states/eV per atom. The calculation puts the raw formation energy at 0.635 eV per atom.

Cell: 4.254 4.254 5.593 Å, 90.00 90.00 90.00°
Space group P4/mmm (No. 123)
Symmetry-distinct sites (fractional):
K (0.000, 0.000, 0.000) [1 per cell]
B (0.000, 0.500, 0.500) [2 per cell]
Sb (0.500, 0.500, 0.000) [1 per cell]
Ir (0.500, 0.500, 0.500) [1 per cell]

---

No. 8
Material: K3RbCd3
Method: DFT, PBE
State: relaxed

## Properties
The magnetic moment comes out at 0.000 μB per atom. Its density of states at the Fermi level is 0.87 states/eV per atom. The energy above the most stable polymorph in this dataset comes out at 257 meV per atom. The calculation puts the calculated formation energy at 0.210 eV/atom.

Cell: 9.696 9.696 9.696 Å, 90.00 90.00 90.00°
Space group Pm-3n (No. 223)
Symmetry-distinct sites (fractional):
K (0.000, 0.250, 0.500) [6 per cell]
Rb (0.000, 0.000, 0.000) [2 per cell]
Cd (0.000, 0.500, 0.250) [6 per cell]

---

No. 9
Material: Mn5Si
Method: DFT, PBE
State: relaxed

## Properties
The magnetic moment comes out at 0.038 μB per atom. Its density of states at the Fermi level is 0.73 states/eV per atom. The calculation puts the raw formation energy at -0.135 eV per atom.

Cell: 4.2873 4.2873 4.1005 Å, 90.00 90.00 120.00°
Space group P-62m (No. 189)
Symmetry-distinct sites (fractional):
Mn (0.0000, 0.6784, 0.0000) [3 per cell]
Mn (0.3333, 0.6667, 0.5000) [2 per cell]
Si (0.0000, 0.0000, 0.5000) [1 per cell]

---

No. 10
Material: Y3Sn3Pt
Method: DFT, PBE
State: relaxed

## Properties
The magnetic moment comes out at 0.000 μB per atom. Its density of states at the Fermi level is 0.63 states/eV per atom. The calculation puts the calculated formation energy at -0.884 eV/atom.

Cell: 11.166 4.501 15.000 Å, 90.00 109.37 90.00°
Space group C2/m (No. 12)
Symmetry-distinct sites (fractional):
Y (0.021, 0.000, 0.378) [4 per cell]
Y (0.098, 0.000, 0.924) [4 per cell]
Y (0.236, 0.000, 0.236) [4 per cell]
Sn (0.018, 0.500, 0.232) [4 per cell]
Sn (0.129, 0.500, 0.076) [4 per cell]
Sn (0.145, 0.500, 0.535) [4 per cell]
Pt (0.241, 0.500, 0.380) [4 per cell]

---

No. 11
Material: AlTc2P
Method: DFT, PBE
State: relaxed

## Properties
The magnetic moment comes out at 0.000 μB per atom. Its density of states at the Fermi level is 1.00 states/eV per atom. The energy above the most stable polymorph in this dataset comes out at 412 meV per atom. The calculation puts the calculated formation energy at 0.026 eV/atom.

Cell: 7.163 7.163 4.930 Å, 90.00 90.00 90.00°
Space group I-42d (No. 122)
Symmetry-distinct sites (fractional):
Al (0.000, 0.000, 0.000) [4 per cell]
Tc (0.167, 0.250, 0.625) [8 per cell]
P (0.000, 0.000, 0.500) [4 per cell]

---

No. 12
Material: LaCeCu12
Method: DFT, PBE
State: relaxed

## Properties
The magnetic moment comes out at 0.037 μB per atom. Its density of states at the Fermi level is 0.67 states/eV per atom. The calculation puts the calculated formation energy at -0.123 eV/atom.

Cell: 5.098 10.156 8.124 Å, 90.00 90.00 90.00°
Space group Pmc2_1 (No. 26)
Symmetry-distinct sites (fractional):
La (0.000, 0.187, 0.000) [2 per cell]
Ce (0.500, 0.316, 0.480) [2 per cell]
Cu (0.000, 0.108, 0.387) [2 per cell]
Cu (0.000, 0.267, 0.637) [2 per cell]
Cu (0.000, 0.347, 0.307) [2 per cell]
Cu (0.000, 0.494, 0.058) [2 per cell]
Cu (0.247, 0.060, 0.674) [4 per cell]
Cu (0.256, 0.443, 0.803) [4 per cell]
Cu (0.500, 0.005, 0.422) [2 per cell]
Cu (0.500, 0.153, 0.181) [2 per cell]
Cu (0.500, 0.236, 0.834) [2 per cell]
Cu (0.500, 0.394, 0.093) [2 per cell]

---

No. 13
Material: Ce5Dy
Method: DFT, PBE
State: relaxed

## Properties
The magnetic moment comes out at 0.000 μB per atom. Its density of states at the Fermi level is 2.72 states/eV per atom. The calculation puts the calculated formation energy at 0.071 eV/atom.

Cell: 4.765 14.448 4.773 Å, 90.00 90.00 90.00°
Space group Cmmm (No. 65)
Symmetry-distinct sites (fractional):
Ce (0.000, 0.000, 0.000) [2 per cell]
Ce (0.000, 0.171, 0.500) [4 per cell]
Ce (0.000, 0.332, 0.000) [4 per cell]
Dy (0.000, 0.500, 0.500) [2 per cell]

---

No. 14
Material: Pa3AlCo3
Method: DFT, PBE
State: relaxed

## Properties
The magnetic moment comes out at 0.000 μB per atom. Its density of states at the Fermi level is 1.25 states/eV per atom. The calculation puts the calculated formation energy at -0.400 eV/atom.

Cell: 4.269 9.201 12.746 Å, 90.00 90.00 90.00°
Space group Cmcm (No. 63)
Symmetry-distinct sites (fractional):
Pa (0.000, 0.051, 0.250) [4 per cell]
Pa (0.000, 0.305, 0.107) [8 per cell]
Al (0.000, 0.000, 0.000) [4 per cell]
Co (0.000, 0.225, 0.750) [4 per cell]
Co (0.000, 0.411, 0.583) [8 per cell]

---

No. 15
Material: Pr2PPd3
Method: DFT, PBE
State: relaxed

## Properties
The magnetic moment comes out at 0.000 μB per atom. Its density of states at the Fermi level is 0.40 states/eV per atom. The calculation puts the calculated formation energy at -0.931 eV/atom.

Cell: 7.797 8.714 15.307 Å, 90.00 90.00 90.00°
Space group Fmmm (No. 69)
Symmetry-distinct sites (fractional):
Pr (0.246, 0.000, 0.000) [8 per cell]
Pr (0.250, 0.250, 0.250) [8 per cell]
P (0.000, 0.000, 0.334) [8 per cell]
Pd (0.000, 0.000, 0.178) [8 per cell]
Pd (0.000, 0.236, 0.412) [16 per cell]

---

No. 16
Material: CuAgI2O
Method: DFT, PBE
State: relaxed

## Properties
The magnetic moment comes out at 0.000 μB per atom. Its density of states at the Fermi level is 1.80 states/eV per atom. The energy above the most stable polymorph in this dataset comes out at 457 meV per atom. The calculation puts the raw formation energy at 0.528 eV per atom.

Cell: 5.684 5.684 3.999 Å, 90.00 90.00 90.00°
Space group P4/mmm (No. 123)
Symmetry-distinct sites (fractional):
Cu (0.000, 0.000, 0.000) [1 per cell]
Ag (0.500, 0.500, 0.500) [1 per cell]
I (0.000, 0.500, 0.500) [2 per cell]
O (0.500, 0.500, 0.000) [1 per cell]

---

No. 17
Material: Cs2CrCl6
Method: DFT, PBE
State: relaxed

## Properties
The magnetic moment comes out at 0.404 μB per atom. Its density of states at the Fermi level is 1.45 states/eV per atom. The calculation puts the raw formation energy at -1.005 eV per atom.

Cell: 8.3966 8.3966 6.2901 Å, 90.00 90.00 120.00°
Space group P-62m (No. 189)
Symmetry-distinct sites (fractional):
Cs (0.3333, 0.6667, 0.0000) [2 per cell]
Cr (0.0000, 0.0000, 0.5000) [1 per cell]
Cl (0.0000, 0.2564, 0.5000) [3 per cell]
Cl (0.0000, 0.7612, 0.0000) [3 per cell]

---

No. 18
Material: Be2Ir2Cl
Method: DFT, PBE
State: relaxed

## Properties
The magnetic moment comes out at 0.000 μB per atom. Its density of states at the Fermi level is 0.76 states/eV per atom. The energy above the most stable polymorph in this dataset comes out at 0 meV per atom. The calculation puts the raw formation energy at 0.154 eV per atom.

Cell: 6.709 6.709 2.852 Å, 90.00 90.00 90.00°
Space group P4/mbm (No. 127)
Symmetry-distinct sites (fractional):
Be (0.128, 0.372, 0.000) [4 per cell]
Ir (0.159, 0.659, 0.500) [4 per cell]
Cl (0.000, 0.000, 0.500) [2 per cell]

---

No. 19
Material: Rb2UHg2Br6
Method: DFT, PBE
State: relaxed

## Properties
The magnetic moment comes out at 0.182 μB per atom. Its density of states at the Fermi level is 0.55 states/eV per atom. The calculation puts the raw formation energy at -1.238 eV per atom.

Cell: 8.434 14.834 9.365 Å, 90.00 111.83 90.00°
Space group C2/m (No. 12)
Symmetry-distinct sites (fractional):
Rb (0.000, 0.168, 0.000) [4 per cell]
U (0.000, 0.500, 0.000) [2 per cell]
Hg (0.000, 0.306, 0.500) [4 per cell]
Br (0.200, 0.500, 0.819) [4 per cell]
Br (0.211, 0.366, 0.183) [8 per cell]

---

No. 20
Material: LaYRe2
Method: DFT, PBE
State: relaxed

## Properties
The magnetic moment comes out at 0.000 μB per atom. Its density of states at the Fermi level is 1.23 states/eV per atom. The energy above the most stable polymorph in this dataset comes out at 673 meV per atom. The calculation puts the calculated formation energy at 0.769 eV/atom.

Cell: 9.285 3.211 5.911 Å, 90.00 95.17 90.00°
Space group C2/m (No. 12)
Symmetry-distinct sites (fractional):
La (0.000, 0.000, 0.000) [2 per cell]
Y (0.000, 0.500, 0.500) [2 per cell]
Re (0.240, 0.000, 0.797) [4 per cell]

---

No. 21
Material: DyCo2AsH
Method: DFT, PBE
State: relaxed

## Properties
The magnetic moment comes out at 0.000 μB per atom. Its density of states at the Fermi level is 0.56 states/eV per atom. Its electronic total energy is -118.8 eV for the cell shown.

Cell: 3.720 10.171 6.792 Å, 90.00 90.00 90.00°
Space group Cmcm (No. 63)
Symmetry-distinct sites (fractional):
Dy (0.000, 0.057, 0.250) [4 per cell]
Co (0.000, 0.339, 0.056) [8 per cell]
As (0.000, 0.224, 0.750) [4 per cell]
H (0.000, 0.500, 0.000) [4 per cell]

---

No. 22
Material: Mg2MnIr
Method: DFT, PBE
State: relaxed

## Properties
The magnetic moment comes out at 0.813 μB per atom. Its density of states at the Fermi level is 0.98 states/eV per atom. The energy above the most stable polymorph in this dataset comes out at 218 meV per atom. The calculation puts the calculated formation energy at 0.086 eV/atom.

Cell: 2.8957 2.8957 27.1499 Å, 90.00 90.00 120.00°
Space group R-3m (No. 166, hexagonal axes)
Symmetry-distinct sites (fractional):
Mg (0.0000, 0.0000, 0.2458) [6 per cell]
Mn (0.0000, 0.0000, 0.0000) [3 per cell]
Ir (0.0000, 0.0000, 0.5000) [3 per cell]

---

No. 23
Material: Pr2Dy3Mg2
Method: DFT, PBE
State: relaxed

## Properties
The magnetic moment comes out at 0.000 μB per atom. Its density of states at the Fermi level is 1.27 states/eV per atom. The calculation puts the calculated formation energy at 0.024 eV/atom.

Cell: 3.560 34.474 3.525 Å, 90.00 90.00 90.00°
Space group Cmmm (No. 65)
Symmetry-distinct sites (fractional):
Pr (0.000, 0.204, 0.000) [4 per cell]
Dy (0.000, 0.072, 0.000) [4 per cell]
Dy (0.000, 0.500, 0.500) [2 per cell]
Mg (0.000, 0.364, 0.500) [4 per cell]